# 1
K2ScOs after structural relaxation, computed with PBE.

The excess energy over the best structure of this formula in the dataset is 75.87 kJ per mole of atoms. The total energy comes out at -3.703 eV per atom. The value obtained for the formation energy is 1.24 eV/atom. The density comes out at 4.99 Mg/m³. Its density of states at the Fermi level is 4.50 states/eV per cell.

The structure belongs to space group P4/mmm (No. 123); the cell edges are 2.893, 2.893 and 12.452 Å and the angles 90.00°, 90.00° and 90.00°. The distinct sites, in fractional coordinates, are K at (0.000, 0.000, 0.213), Sc at (0.500, 0.500, 0.500) and Os at (0.500, 0.500, 0.000).

---

# 2
K2ScOs after structural relaxation, computed with PBE.

The excess energy over the best structure of this formula in the dataset is 26.78 kJ per mole of atoms. The total energy comes out at -4.212 eV per atom. The value obtained for the formation energy is 0.73 eV/atom. The density comes out at 3.69 Mg/m³. Its density of states at the Fermi level is 3.73 states/eV per cell.

The structure belongs to space group Imm2 (No. 44); the cell edges are 3.200, 6.330 and 13.930 Å and the angles 90.00°, 90.00° and 90.00°. The distinct sites, in fractional coordinates, are K at (0.000, 0.000, 0.000), K at (0.000, 0.500, 0.187), Sc at (0.000, 0.000, 0.342) and Os at (0.000, 0.500, 0.710).

---

# 3
KScOs3 after structural relaxation, computed with PBE.

The excess energy over the best structure of this formula in the dataset is 0.00 kJ per mole of atoms. The total energy comes out at -5.983 eV per atom. The value obtained for the formation energy is 2.24 eV/atom. The density comes out at 9.53 Mg/m³. Its density of states at the Fermi level is 5.03 states/eV per cell.

The structure belongs to space group Pm-3m (No. 221); the cell edges are 4.850, 4.850 and 4.850 Å and the angles 90.00°, 90.00° and 90.00°. The distinct sites, in fractional coordinates, are K at (0.000, 0.000, 0.000), Sc at (0.500, 0.500, 0.500) and Os at (0.000, 0.500, 0.500).

---

# 4
KSc3Os after structural relaxation, computed with PBE.

The excess energy over the best structure of this formula in the dataset is 161.29 kJ per mole of atoms. The total energy comes out at -4.498 eV per atom. The value obtained for the formation energy is 1.77 eV/atom. The density comes out at 6.05 Mg/m³. Its density of states at the Fermi level is 6.70 states/eV per cell.

The structure belongs to space group Pm-3m (No. 221); the cell edges are 4.641, 4.641 and 4.641 Å and the angles 90.00°, 90.00° and 90.00°. The distinct sites, in fractional coordinates, are K at (0.000, 0.000, 0.000), Sc at (0.000, 0.000, 0.500) and Os at (0.500, 0.500, 0.500).

---

# 5
KScOs2 after structural relaxation, computed with PBE.

The excess energy over the best structure of this formula in the dataset is 0.00 kJ per mole of atoms. The total energy comes out at -6.974 eV per atom. The value obtained for the formation energy is 0.50 eV/atom. The density comes out at 8.99 Mg/m³. Its density of states at the Fermi level is 4.77 states/eV per cell.

The structure belongs to space group P4mm (No. 99); the cell edges are 2.926, 2.926 and 10.021 Å and the angles 90.00°, 90.00° and 90.00°. The distinct sites, in fractional coordinates, are K at (0.000, 0.000, 0.000), Sc at (0.500, 0.500, 0.633), Os at (0.000, 0.000, 0.438) and Os at (0.500, 0.500, 0.278).

---

# 6
KScOs2 after structural relaxation, computed with PBE.

The excess energy over the best structure of this formula in the dataset is 33.02 kJ per mole of atoms. The total energy comes out at -6.632 eV per atom. The value obtained for the formation energy is 0.84 eV/atom. The density comes out at 8.45 Mg/m³. Its density of states at the Fermi level is 4.51 states/eV per cell.

The structure belongs to space group P4/mmm (No. 123); the cell edges are 3.423, 3.423 and 7.795 Å and the angles 90.00°, 90.00° and 90.00°. The distinct sites, in fractional coordinates, are K at (0.000, 0.000, 0.000), Sc at (0.000, 0.000, 0.500) and Os at (0.500, 0.500, 0.341).